No. 1
Below is crystalline YSiBr2 at its relaxed geometry, with properties calculated at the GGA-PBE level.

As for the uncorrected formation energy: -0.542 eV per atom. The volume comes out at 129 Å³/f.u. The symmetry is Imm2 (44). As for the density: 3.559 g/cm3.

The structure in POSCAR format:
```
YSiBr2
1.0
-1.8200 2.5571 6.9372
1.8200 -2.5571 6.9372
1.8200 2.5571 -6.9372
Y Si Br
1 1 2
Direct
0.0000 0.0000 0.0000
0.8386 0.3386 0.5000
0.1554 0.6554 0.5000
0.4358 0.4358 0.0000
```

No. 2
Below is crystalline YSiBr2 at its relaxed geometry, with properties calculated at the GGA-PBE level.

As for the uncorrected formation energy: -0.477 eV per atom. The volume comes out at 104 Å³/f.u. The symmetry is P2/m (10). As for the density: 4.402 g/cm3.

The structure in POSCAR format:
```
YSiBr2
1.0
3.9696 0.0000 0.0000
0.0000 4.9282 0.0000
-0.0916 0.0000 5.3378
Y Si Br
1 1 2
Direct
0.0000 0.0000 0.0000
0.5000 0.0000 0.5000
0.2330 0.5000 0.2509
0.7670 0.5000 0.7491
```

No. 3
Below is crystalline YSiBr2 at its relaxed geometry, with properties calculated at the GGA-PBE level.

As for the uncorrected formation energy: 0.062 eV per atom. The volume comes out at 150 Å³/f.u. The symmetry is I-42d (122). As for the density: 3.057 g/cm3.

The structure in POSCAR format:
```
YSiBr2
1.0
-3.5006 3.5006 6.1346
3.5006 -3.5006 6.1346
3.5006 3.5006 -6.1346
Y Si Br
2 2 4
Direct
0.0000 0.0000 0.0000
0.7500 0.2500 0.5000
0.2500 0.7500 0.5000
0.5000 0.5000 0.0000
0.0801 0.6250 0.9551
0.3750 0.3301 0.4551
0.6699 0.1250 0.0449
0.8750 0.9199 0.5449
```

No. 4
Below is crystalline Y6SiBr8 at its relaxed geometry, with properties calculated at the GGA-PBE level.

As for the uncorrected formation energy: -1.420 eV per atom. The volume comes out at 467 Å³/f.u. The symmetry is R-3 (148). As for the density: 4.268 g/cm3.

The structure in POSCAR format:
```
Y6SiBr8
1.0
3.6016 2.0794 10.3966
-3.6016 2.0794 10.3966
0.0000 -4.1588 10.3966
Y Si Br
6 1 8
Direct
0.0516 0.3472 0.7556
0.2444 0.9484 0.6528
0.3472 0.7556 0.0516
0.6528 0.2444 0.9484
0.7556 0.0516 0.3472
0.9484 0.6528 0.2444
0.0000 0.0000 0.0000
0.1058 0.7579 0.4543
0.2421 0.5457 0.8942
0.3333 0.3333 0.3333
0.4543 0.1058 0.7579
0.5457 0.8942 0.2421
0.6667 0.6667 0.6667
0.7579 0.4543 0.1058
0.8942 0.2421 0.5457
```

No. 5
Below is crystalline Y4Si2Br3 at its relaxed geometry, with properties calculated at the GGA-PBE level.

As for the uncorrected formation energy: -1.245 eV per atom. The volume comes out at 261 Å³/f.u. The symmetry is P-3m1 (164). As for the density: 4.143 g/cm3.

The structure in POSCAR format:
```
Y4Si2Br3
1.0
4.1319 0.0000 0.0000
-2.0660 3.5783 0.0000
0.0000 0.0000 17.6591
Y Si Br
4 2 3
Direct
0.0000 0.0000 0.2091
0.0000 0.0000 0.7909
0.3333 0.6667 0.3819
0.6667 0.3333 0.6181
0.3333 0.6667 0.7003
0.6667 0.3333 0.2997
0.0000 0.0000 0.5000
0.3333 0.6667 0.1089
0.6667 0.3333 0.8911
```

No. 6
Below is crystalline YSiBr2 at its relaxed geometry, with properties calculated at the GGA-PBE level.

As for the uncorrected formation energy: -0.283 eV per atom. The volume comes out at 111 Å³/f.u. The symmetry is Cmmm (65). As for the density: 4.157 g/cm3.

The structure in POSCAR format:
```
YSiBr2
1.0
1.7679 -3.1632 0.0000
1.7679 3.1632 0.0000
0.0000 0.0000 9.8846
Y Si Br
1 1 2
Direct
0.0000 0.0000 0.0000
0.0000 0.0000 0.5000
0.5000 0.5000 0.2281
0.5000 0.5000 0.7719
```

No. 7
Below is crystalline YSiBr2 at its relaxed geometry, with properties calculated at the GGA-PBE level.

As for the uncorrected formation energy: -0.516 eV per atom. The volume comes out at 109 Å³/f.u. The symmetry is R-3m (166). As for the density: 4.214 g/cm3.

The structure in POSCAR format:
```
YSiBr2
1.0
1.7935 1.0355 9.7891
-1.7935 1.0355 9.7891
0.0000 -2.0709 9.7891
Y Si Br
1 1 2
Direct
0.0000 0.0000 0.0000
0.5000 0.5000 0.5000
0.4027 0.4027 0.4027
0.5973 0.5973 0.5973
```

No. 8
Below is crystalline YSiBr2 at its relaxed geometry, with properties calculated at the GGA-PBE level.

As for the uncorrected formation energy: -0.755 eV per atom. The volume comes out at 140 Å³/f.u. The symmetry is Cm (8). As for the density: 3.280 g/cm3.

The structure in POSCAR format:
```
YSiBr2
1.0
5.2355 -1.8125 0.0000
5.2355 1.8125 0.0000
-1.1846 0.0000 7.3840
Y Si Br
1 1 2
Direct
0.0000 0.0000 0.0000
0.7238 0.7238 0.0554
0.3764 0.3764 0.7372
0.5909 0.5909 0.3093
```